Entry 1:
# Mg2GaPb2, optimized geometry, DFT PBE
data_Mg2GaPb2
_chemical_formula_sum 'Mg4 Ga2 Pb4'
_cell_length_a 8.9055
_cell_length_b 8.9055
_cell_length_c 3.3313
_cell_angle_alpha 90.00
_cell_angle_beta 90.00
_cell_angle_gamma 90.00
_space_group_name_H-M_alt 'P 4/m b m'
_space_group_IT_number 127
_space_group_name_Hall '-P 4 2ab'
loop_
_atom_site_label
_atom_site_fract_x
_atom_site_fract_y
_atom_site_fract_z
Mg1 0.1299 0.3701 0.0000
Ga1 0.0000 0.0000 0.0000
Pb1 0.1688 0.6688 0.5000
# Electronic total energy, eV/atom: -2.664
# Calculated density, kg/m³: 6697

***

Entry 2:
# BeTc2Os, optimized geometry, DFT PBE
data_BeTc2Os
_chemical_formula_sum 'Be4 Tc8 Os4'
_cell_length_a 3.5994
_cell_length_b 3.5994
_cell_length_c 17.7027
_cell_angle_alpha 90.00
_cell_angle_beta 90.00
_cell_angle_gamma 90.00
_space_group_name_H-M_alt 'I -4 2 d'
_space_group_IT_number 122
_space_group_name_Hall 'I -4 2bw'
loop_
_atom_site_label
_atom_site_fract_x
_atom_site_fract_y
_atom_site_fract_z
Be1 0.0000 0.0000 0.0000
Tc1 0.2133 0.2500 0.1250
Os1 0.0000 0.0000 0.5000
# Electronic total energy, eV/atom: -8.365
# Calculated density, kg/m³: 11447

***

Entry 3:
# Li3U5Se8, optimized geometry, DFT PBE
data_Li3U5Se8
_chemical_formula_sum 'Li9 U15 Se24'
_cell_length_a 7.9848
_cell_length_b 7.9848
_cell_length_c 20.0791
_cell_angle_alpha 90.00
_cell_angle_beta 90.00
_cell_angle_gamma 120.00
_space_group_name_H-M_alt 'R -3 m'
_space_group_IT_number 166
_space_group_name_Hall '-R 3 2"'
loop_
_atom_site_label
_atom_site_fract_x
_atom_site_fract_y
_atom_site_fract_z
Li1 0.0000 0.5000 0.0000
U1 0.0000 0.0000 0.0000
U2 0.0000 0.0000 0.5000
U3 0.0000 0.5000 0.5000
Se1 0.0000 0.0000 0.2546
Se2 0.0085 0.5043 0.2544
# Calculated density, kg/m³: 8280
# Uncorrected formation energy, eV/atom: -1.13

***

Entry 4:
# Ba2NaSb, optimized geometry, DFT PBE
data_Ba2NaSb
_chemical_formula_sum 'Ba8 Na4 Sb4'
_cell_length_a 9.7513
_cell_length_b 9.7513
_cell_length_c 8.5953
_cell_angle_alpha 90.00
_cell_angle_beta 90.00
_cell_angle_gamma 90.00
_space_group_name_H-M_alt 'I -4 2 d'
_space_group_IT_number 122
_space_group_name_Hall 'I -4 2bw'
loop_
_atom_site_label
_atom_site_fract_x
_atom_site_fract_y
_atom_site_fract_z
Ba1 0.2056 0.2500 0.1250
Na1 0.0000 0.0000 0.5000
Sb1 0.0000 0.0000 0.0000
# Calculated density, kg/m³: 3408
# Uncorrected formation energy, eV/atom: -0.37

***

Entry 5:
# Ba2ScW, optimized geometry, DFT PBE
data_Ba2ScW
_chemical_formula_sum 'Ba4 Sc2 W2'
_cell_length_a 6.5414
_cell_length_b 11.2154
_cell_length_c 3.2234
_cell_angle_alpha 90.00
_cell_angle_beta 90.00
_cell_angle_gamma 90.00
_space_group_name_H-M_alt 'C m m m'
_space_group_IT_number 65
_space_group_name_Hall '-C 2 2'
loop_
_atom_site_label
_atom_site_fract_x
_atom_site_fract_y
_atom_site_fract_z
Ba1 0.2500 0.2500 0.0000
Sc1 0.0000 0.0000 0.5000
W1 0.0000 0.5000 0.5000
# Electronic total energy, eV/atom: -4.545
# Calculated density, kg/m³: 7070

***

Entry 6:
# AlF, optimized geometry, DFT PBE
data_AlF
_chemical_formula_sum 'Al2 F2'
_cell_length_a 2.8163
_cell_length_b 2.8163
_cell_length_c 7.8687
_cell_angle_alpha 90.00
_cell_angle_beta 90.00
_cell_angle_gamma 120.00
_space_group_name_H-M_alt 'P 63 m c'
_space_group_IT_number 186
_space_group_name_Hall 'P 6c -2c'
loop_
_atom_site_label
_atom_site_fract_x
_atom_site_fract_y
_atom_site_fract_z
Al1 0.3333 0.6667 0.0000
F1 0.3333 0.6667 0.7739
# Calculated density, kg/m³: 2825
# Uncorrected formation energy, eV/atom: -1.73

***

Q: Which value of calculated density does entry 6 give?
A: 2825 kg/m³

***

Q: calculated density of number 3 (Li3U5Se8)?
A: 8280 kg/m³

***

Q: Among the records above, which one has the highest calculated density?
A: BeTc2Os